Entry from Alexandria: crystalline LaAg3Ge at its relaxed geometry (PBE).

Summary:
Relative energy among the computed polymorphs = 1102 meV/atom
Space-group type = Pm-3m
Calculated volume = 173.0 Å³/f.u.
M_tot = 0.0 μB per formula unit
E = -2.4742 eV per atom
DFT formation energy = 1146 meV/atom

abc: 5.5718 5.5718 5.5718
angles: 90.00 90.00 90.00
Fractional coordinates of all 5 atoms:
La1 0.0000 0.0000 0.0000
Ag1 0.0000 0.0000 0.5000
Ag2 0.0000 0.5000 0.0000
Ag3 0.5000 0.0000 0.0000
Ge1 0.5000 0.5000 0.5000